SrSnAu4 | PBE-GGA | optimized geometry

a b c (Å): 5.277 7.342 8.078
angles (deg): 90.00 109.06 90.00
Fractional positions:
Au 0.408 0.250 0.815
Au 0.592 0.750 0.185
Au 0.000 0.000 0.000
Au 0.770 0.565 0.540
Au 0.000 0.500 0.000
Au 0.230 0.065 0.460
Au 0.770 0.935 0.540
Au 0.230 0.435 0.460
Sn 0.864 0.250 0.728
Sn 0.136 0.750 0.272
Sr 0.388 0.750 0.775
Sr 0.612 0.250 0.225

Summary:
DFT total energy = -41.877 eV for the cell shown
Formation energy from the elements = -0.36 eV/atom
Polymorph energy (0 for the lowest one) = 0.065 eV per atom
N(E_F) = 3.38 states/eV per cell


SmEr5Tl4 | PBE-GGA | optimized geometry

a b c (Å): 3.594 3.594 21.673
angles (deg): 90.00 90.00 90.00
Fractional positions:
Er 0.500 0.500 0.500
Er 0.500 0.500 0.307
Er 0.500 0.500 0.693
Er 0.500 0.500 0.116
Er 0.500 0.500 0.884
Tl 0.000 0.000 0.788
Tl 0.000 0.000 0.596
Tl 0.000 0.000 0.404
Tl 0.000 0.000 0.212
Sm 0.000 0.000 0.000

Summary:
DFT total energy = -39.558 eV for the cell shown
Formation energy from the elements = -0.26 eV/atom
N(E_F) = 8.41 states/eV per cell


TmSc4Al4 | PBE-GGA | optimized geometry

a b c (Å): 5.409 8.462 8.462
angles (deg): 90.00 90.00 90.00
Fractional positions:
Sc 0.389 0.570 0.156
Sc 0.889 0.344 0.070
Sc 0.889 0.656 0.930
Sc 0.111 0.930 0.344
Sc 0.389 0.430 0.844
Sc 0.611 0.844 0.570
Sc 0.111 0.070 0.656
Sc 0.611 0.156 0.430
Al 0.408 0.207 0.109
Al 0.408 0.793 0.891
Al 0.908 0.609 0.293
Al 0.908 0.391 0.707
Al 0.092 0.707 0.609
Al 0.592 0.891 0.207
Al 0.092 0.293 0.391
Al 0.592 0.109 0.793
Tm 0.500 0.500 0.500
Tm 0.000 0.000 0.000

Summary:
DFT total energy = -92.907 eV for the cell shown
Formation energy from the elements = -0.19 eV/atom
N(E_F) = 13.42 states/eV per cell


Sb3MoIr | PBE-GGA | optimized geometry

a b c (Å): 5.112 5.112 5.112
angles (deg): 90.00 90.00 90.00
Fractional positions:
Mo 0.000 0.000 0.000
Sb 0.000 0.000 0.500
Sb 0.000 0.500 0.000
Sb 0.500 0.000 0.000
Ir 0.500 0.500 0.500

Summary:
DFT total energy = -26.400 eV for the cell shown
Uncorrected formation energy = 1.132 eV/atom
Polymorph energy (0 for the lowest one) = 0.053 eV per atom
N(E_F) = 3.10 states/eV per cell


TbCe2PuS4 | PBE-GGA | optimized geometry

a b c (Å): 3.963 6.871 6.932
angles (deg): 109.28 90.00 90.00
Fractional positions:
S 0.000 0.748 0.242
S 0.000 0.252 0.758
S 0.500 0.754 0.758
S 0.500 0.246 0.242
Tb 0.000 0.000 0.000
Pu 0.500 0.500 0.000
Ce 0.500 0.000 0.500
Ce 0.000 0.500 0.500

Summary:
DFT total energy = -63.173 eV for the cell shown
Uncorrected formation energy = -1.979 eV/atom
N(E_F) = 14.24 states/eV per cell


HfV2AsI | PBE-GGA | optimized geometry

a b c (Å): 5.198 4.973 5.198
angles (deg): 90.00 90.00 90.00
Fractional positions:
I 0.500 0.500 0.500
V 0.500 0.000 0.000
V 0.000 0.000 0.500
Hf 0.000 0.000 0.000
As 0.000 0.500 0.000

Summary:
DFT total energy = -28.334 eV for the cell shown
Uncorrected formation energy = 1.211 eV/atom
N(E_F) = 6.52 states/eV per cell


Ac2Sn3Pd5 | PBE-GGA | optimized geometry

a b c (Å): 4.591 7.471 13.480
angles (deg): 90.00 99.80 90.00
Fractional positions:
Ac 0.825 0.276 0.650
Ac 0.486 0.696 0.972
Ac 0.514 0.196 0.028
Ac 0.175 0.776 0.350
Pd 0.949 0.002 0.897
Pd 0.878 0.696 0.756
Pd 0.706 0.102 0.412
Pd 0.394 0.469 0.788
Pd 0.051 0.502 0.103
Pd 0.724 0.513 0.448
Pd 0.294 0.602 0.588
Pd 0.122 0.196 0.244
Pd 0.606 0.969 0.212
Pd 0.276 0.013 0.552
Sn 0.374 0.905 0.748
Sn 0.944 0.392 0.889
Sn 0.220 0.313 0.441
Sn 0.626 0.405 0.252
Sn 0.056 0.892 0.111
Sn 0.780 0.813 0.559

Summary:
DFT total energy = -106.943 eV for the cell shown
Formation energy from the elements = -0.73 eV/atom
Polymorph energy (0 for the lowest one) = 0.045 eV per atom
N(E_F) = 12.08 states/eV per cell


Tm4SnIr2Ru | PBE-GGA | optimized geometry

a b c (Å): 4.863 4.863 8.555
angles (deg): 73.49 73.49 60.00
Fractional positions:
Tm 0.870 0.870 0.390
Tm 0.617 0.617 0.149
Tm 0.383 0.383 0.851
Tm 0.130 0.130 0.610
Sn 0.000 0.000 0.000
Ir 0.751 0.751 0.747
Ir 0.249 0.249 0.253
Ru 0.500 0.500 0.500

Summary:
DFT total energy = -54.494 eV for the cell shown
Formation energy from the elements = -0.70 eV/atom
N(E_F) = 3.79 states/eV per cell